# BaLiBr3

An optimized crystal structure of BaLiBr3 (PBE, the Alexandria database).

Volume, Å³ per atom: 28.4
Energy, eV/atom: -3.608
Distance to the lowest polymorph of the same formula, meV per atom: 69
Formation energy without anion corrections, eV/atom: -1.84
DOS at the Fermi energy, states/eV/f.u.: 0.000

a b c (Å): 5.2191 5.2191 5.2191
angles (deg): 90.00 90.00 90.00
Closest atoms and distances in Å follow each position.
Space group Pm-3m (No. 221)
Inequivalent atoms, fractional coordinates:
Ba 0.0000 0.0000 0.0000  12 Br 3.69
Li 0.5000 0.5000 0.5000  6 Br 2.61
Br 0.0000 0.5000 0.5000  2 Li 2.61